VASP calculation (PBE) on KRbNaHg2 after structural relaxation.

Cell: 8.9410 8.9410 8.9410 Å, 152.20 141.59 48.07°
With the nearest neighbours (Å) after each atom.
Atoms (fractional coordinates):
K (0.0000, 0.0000, 0.0000)  6 Hg 3.48-3.68, 2 Na 3.68
Rb (0.7226, 0.2226, 0.5000)  6 Hg 3.75-3.80
Na (0.3644, 0.8644, 0.5000)  3 Hg 3.22-3.46
Hg (0.1675, 0.6675, 0.5000)  1 Na 3.22, 2 K 3.48
Hg (0.5303, 0.5303, 0.0000)  2 Na 3.46, 4 K 3.68, 2 Hg 3.70, 2 Rb 3.80

Formation energy, eV/atom: -0.16
VASP energy, eV per atom: -0.95